The following is a PBE calculation of a geometry-optimized DyMn3Ge2 structure, from the Alexandria database.

The calculation puts the density of states at the Fermi level at 17.3 states/eV/cell. Its formation energy is -0.35 eV/atom.

It has space group C2/m (No. 12), with a = 14.634 Å, b = 3.929 Å, c = 7.319 Å, α = 90.00°, β = 115.49° and γ = 90.00°. The asymmetric unit holds Dy at (0.144, 0.000, 0.061), Mn at (0.046, 0.000, 0.399), Mn at (0.083, 0.500, 0.627), Mn at (0.194, 0.500, 0.476), Ge at (0.022, 0.500, 0.188) and Ge at (0.201, 0.000, 0.714).

=====

The following is a PBE calculation of a geometry-optimized Dy2MnGe4 structure, from the Alexandria database.

The calculation puts the density of states at the Fermi level at 7.7 states/eV/cell. Its formation energy is -0.55 eV/atom.

It has space group Amm2 (No. 38), with a = 4.179 Å, b = 4.256 Å, c = 15.644 Å, α = 90.00°, β = 90.00° and γ = 90.00°. The asymmetric unit holds Dy at (0.000, 0.000, 0.000), Dy at (0.500, 0.000, 0.206), Mn at (0.000, 0.000, 0.798), Ge at (0.000, 0.000, 0.362), Ge at (0.000, 0.000, 0.647), Ge at (0.500, 0.000, 0.539) and Ge at (0.500, 0.000, 0.861).

=====

The following is a PBE calculation of a geometry-optimized DyMn3Ge3 structure, from the Alexandria database.

The calculation puts the density of states at the Fermi level at 48.2 states/eV/cell. The calculation puts the polymorph energy (0 for the lowest one) at 581 meV per atom. Its formation energy is 0.89 eV/atom.

It has space group Fm-3m (No. 225), with a = 11.221 Å, b = 11.221 Å, c = 11.221 Å, α = 90.00°, β = 90.00° and γ = 90.00°. The asymmetric unit holds Dy at (0.250, 0.250, 0.250), Mn at (0.000, 0.000, 0.139) and Ge at (0.000, 0.000, 0.338).

=====

The following is a PBE calculation of a geometry-optimized DyMnGe2Mo structure, from the Alexandria database.

The calculation puts the density of states at the Fermi level at 5.8 states/eV/cell. Its formation energy is -0.40 eV/atom.

It has space group I-4m2 (No. 119), with a = 3.980 Å, b = 3.980 Å, c = 11.374 Å, α = 90.00°, β = 90.00° and γ = 90.00°. The asymmetric unit holds Dy at (0.000, 0.000, 0.000), Mn at (0.000, 0.500, 0.250), Ge at (0.000, 0.000, 0.389) and Mo at (0.000, 0.500, 0.750).